! Hf6Ir2C PBE optimized geometry; values from VASP
! Space group   No. 14
! ΔE_f   -557 kJ/mol of formula units
! E   -10.271 eV/atom
&SYSTEM
  ibrav = 0, nat = 18, ntyp = 3
/
ATOMIC_SPECIES
Hf 178.49 Hf.upf
Ir 192.22 Ir.upf
C 12.01 C.upf
CELL_PARAMETERS angstrom
6.123 0.000 0.000
0.000 6.359 0.000
-5.984 0.000 8.836
ATOMIC_POSITIONS angstrom
Hf -0.594 0.148 2.170
Hf -3.586 3.031 6.589
Hf 1.212 4.479 0.463
Hf -1.780 5.060 4.881
Hf 1.825 1.235 0.457
Hf -1.167 1.944 4.875
Hf 1.306 4.415 3.961
Hf -1.686 5.124 8.379
Hf 1.919 1.299 3.956
Hf -1.073 1.880 8.374
Hf 3.725 3.328 2.248
Hf 0.733 6.211 6.666
Ir -2.781 0.456 6.682
Ir 0.211 2.724 2.264
Ir -0.072 3.635 6.572
Ir 2.920 5.903 2.154
C 0.000 0.000 0.000
C -2.992 3.179 4.418

=====

! Hf2IrC PBE optimized geometry; values from VASP
! Space group   No. 12
! ΔE_f   -276 kJ/mol of formula units
! E   -10.213 eV/atom
&SYSTEM
  ibrav = 0, nat = 4, ntyp = 3
/
ATOMIC_SPECIES
Hf 178.49 Hf.upf
Ir 192.22 Ir.upf
C 12.01 C.upf
CELL_PARAMETERS angstrom
2.782 -1.601 0.000
2.782 1.601 0.000
-1.847 0.000 6.934
ATOMIC_POSITIONS angstrom
Hf 0.928 0.000 1.333
Hf 2.788 0.000 5.601
Ir -0.924 0.000 3.467
C 2.782 0.000 0.000